This record from Alexandria via LeMat-Bulk describes MnGaFeCo after structural relaxation. The functional is PBE-GGA.

```
4
Lattice="3.6741 0.0000 0.0000 0.0000 3.7066 0.0000 0.0000 0.0000 3.6033" Properties=species:S:1:pos:R:3 pbc="T T T"
Mn 0.0000 1.8533 1.8016
Ga 0.0000 0.0000 0.0000
Fe 1.8371 1.8533 0.0000
Co 1.8371 0.0000 1.8016
```

## Properties
ΔE_f in meV/atom: -97
Electronic total energy in Ry per atom: -0.5173


This record from Alexandria via LeMat-Bulk describes GaFeCoMo after structural relaxation. The functional is PBE-GGA.

```
4
Lattice="-1.7369 -0.5400 3.7417 -0.1425 -3.7949 1.6991 2.3834 -0.8971 3.2899" Properties=species:S:1:pos:R:3 pbc="T T T"
Mo 0.3780 -3.9241 6.5480
Co 0.2520 -2.6160 4.3653
Fe 0.0000 0.0000 0.0000
Ga 0.1260 -1.3080 2.1827
```

## Properties
ΔE_f in meV/atom: -65
Electronic total energy in Ry per atom: -0.5455


This record from Alexandria via LeMat-Bulk describes GaFeCoMo2 after structural relaxation. The functional is PBE-GGA.

```
5
Lattice="-3.0464 -0.4379 3.1499 -0.9336 -3.8050 -1.4319 3.0236 -1.7507 2.6808" Properties=species:S:1:pos:R:3 pbc="T T T"
Mo 1.5118 -0.8753 1.3404
Mo -1.5232 -0.2189 1.5749
Co 0.0000 0.0000 0.0000
Fe -0.4668 -1.9025 -0.7159
Ga -0.4782 -2.9968 2.1994
```

## Properties
ΔE_f in meV/atom: 1146
Electronic total energy in Ry per atom: -0.5075